# Ce4In12Au PBE optimized geometry
# - Energy of formation: -6.387 eV per formula unit
# - Volume: 25.9 A^3/atom
data_Ce4In12Au
_chemical_formula_sum 'Ce8 In24 Au2'
_symmetry_space_group_name_H-M 'I m -3 m'
_symmetry_Int_Tables_number 229
_symmetry_space_group_name_Hall '-I 4 2 3'
_cell_length_a 9.583
_cell_length_b 9.583
_cell_length_c 9.583
_cell_angle_alpha 90.00
_cell_angle_beta 90.00
_cell_angle_gamma 90.00
loop_
_atom_site_label
_atom_site_fract_x
_atom_site_fract_y
_atom_site_fract_z
Ce1 0.250 0.250 0.250
In1 0.000 0.000 0.291
In2 0.000 0.250 0.500
Au1 0.000 0.000 0.000



# Ce2InAu2 PBE optimized geometry
# - Energy of formation: -3.348 eV per formula unit
# - Volume: 25.4 A^3/atom
data_Ce2InAu2
_chemical_formula_sum 'Ce4 In2 Au4'
_symmetry_space_group_name_H-M 'P 4/m b m'
_symmetry_Int_Tables_number 127
_symmetry_space_group_name_Hall '-P 4 2ab'
_cell_length_a 8.074
_cell_length_b 8.074
_cell_length_c 3.890
_cell_angle_alpha 90.00
_cell_angle_beta 90.00
_cell_angle_gamma 90.00
loop_
_atom_site_label
_atom_site_fract_x
_atom_site_fract_y
_atom_site_fract_z
Ce1 0.174 0.326 0.000
In1 0.000 0.000 0.500
Au1 0.127 0.627 0.500



# CeIn2Au6 PBE optimized geometry
# - Energy of formation: -2.665 eV per formula unit
# - Volume: 22.0 A^3/atom
data_CeIn2Au6
_chemical_formula_sum 'Ce2 In4 Au12'
_symmetry_space_group_name_H-M 'I m m m'
_symmetry_Int_Tables_number 71
_symmetry_space_group_name_Hall '-I 2 2'
_cell_length_a 3.525
_cell_length_b 8.173
_cell_length_c 13.741
_cell_angle_alpha 90.00
_cell_angle_beta 90.00
_cell_angle_gamma 90.00
loop_
_atom_site_label
_atom_site_fract_x
_atom_site_fract_y
_atom_site_fract_z
Ce1 0.000 0.000 0.000
In1 0.000 0.500 0.144
Au1 0.000 0.173 0.500
Au2 0.000 0.328 0.323